Entry 1:
# NaLa2Tl

NaLa2Tl after structural relaxation (GGA-PBE, Alexandria via LeMat-Bulk).

The space group is P4/mmm (No. 123) and the conventional cell measures 3.953, 3.953 and 8.713 Å, with angles of 90.00, 90.00 and 90.00 degrees. The distinct sites, in fractional coordinates, are Na at (0.000, 0.000, 0.000), La at (0.500, 0.500, 0.279) and Tl at (0.000, 0.000, 0.500).

As for the energy above the lowest structure with this stoichiometry: 37 meV/atom. The value obtained for the energy of formation from the pure elements is -0.095 eV per atom.

Entry 2:
# DyPa5S6

DyPa5S6 after structural relaxation (GGA-PBE, Alexandria via LeMat-Bulk).

The space group is C2/m (No. 12) and the conventional cell measures 6.573, 11.794 and 6.876 Å, with angles of 90.00, 109.96 and 90.00 degrees. The distinct sites, in fractional coordinates, are Dy at (0.000, 0.000, 0.000), Pa at (0.000, 0.166, 0.500), Pa at (0.000, 0.332, 0.000), Pa at (0.000, 0.500, 0.500), S at (0.249, 0.165, 0.248) and S at (0.250, 0.000, 0.753).

The value obtained for the uncorrected formation energy is -1.658 eV per atom.

Entry 3:
# Pm4SmHo3

Pm4SmHo3 after structural relaxation (GGA-PBE, Alexandria via LeMat-Bulk).

The space group is Pmn2_1 (No. 31) and the conventional cell measures 11.551, 7.319 and 6.317 Å, with angles of 90.00, 90.00 and 90.00 degrees. The distinct sites, in fractional coordinates, are Pm at (0.000, 0.128, 0.000), Pm at (0.000, 0.872, 0.494), Pm at (0.248, 0.874, 0.831), Sm at (0.000, 0.376, 0.498), Ho at (0.000, 0.622, 0.997) and Ho at (0.250, 0.378, 0.830).

As for the energy above the lowest structure with this stoichiometry: 0 meV/atom. The value obtained for the energy of formation from the pure elements is 0.026 eV per atom.

Entry 4:
# MoPt2Pb

MoPt2Pb after structural relaxation (GGA-PBE, Alexandria via LeMat-Bulk).

The space group is P4/mmm (No. 123) and the conventional cell measures 4.050, 4.050 and 4.303 Å, with angles of 90.00, 90.00 and 90.00 degrees. The distinct sites, in fractional coordinates, are Mo at (0.000, 0.000, 0.000), Pt at (0.000, 0.500, 0.500) and Pb at (0.500, 0.500, 0.000).

The value obtained for the energy of formation from the pure elements is 0.203 eV per atom.

Entry 5:
# AlIn3Ge

AlIn3Ge after structural relaxation (GGA-PBE, Alexandria via LeMat-Bulk).

The space group is Pm-3m (No. 221) and the conventional cell measures 5.381, 5.381 and 5.381 Å, with angles of 90.00, 90.00 and 90.00 degrees. The distinct sites, in fractional coordinates, are Al at (0.000, 0.000, 0.000), In at (0.000, 0.500, 0.500) and Ge at (0.500, 0.500, 0.500).

As for the energy above the lowest structure with this stoichiometry: 21 meV/atom. The value obtained for the energy of formation from the pure elements is 0.558 eV per atom.

Entry 6:
# LaSc2Si

LaSc2Si after structural relaxation (GGA-PBE, Alexandria via LeMat-Bulk).

The space group is C2/m (No. 12) and the conventional cell measures 6.296, 10.326 and 3.327 Å, with angles of 90.00, 117.78 and 90.00 degrees. The distinct sites, in fractional coordinates, are La at (0.000, 0.000, 0.000), Sc at (0.250, 0.250, 0.500) and Si at (0.000, 0.500, 0.000).

The value obtained for the uncorrected formation energy is -0.049 eV per atom.

Entry 7:
# BaSnO2

BaSnO2 after structural relaxation (GGA-PBE, Alexandria via LeMat-Bulk).

The space group is R-3m (No. 166, hexagonal axes) and the conventional cell measures 3.6265, 3.6265 and 21.1989 Å, with angles of 90.00, 90.00 and 120.00 degrees. The distinct sites, in fractional coordinates, are Ba at (0.0000, 0.0000, 0.0000), Sn at (0.0000, 0.0000, 0.5000) and O at (0.0000, 0.0000, 0.1217).

The value obtained for the uncorrected formation energy is -1.130 eV per atom.

Entry 8:
# TiBiSe2

TiBiSe2 after structural relaxation (GGA-PBE, Alexandria via LeMat-Bulk).

The space group is R3m (No. 160, hexagonal axes) and the conventional cell measures 4.2517, 4.2517 and 21.4907 Å, with angles of 90.00, 90.00 and 120.00 degrees. The distinct sites, in fractional coordinates, are Ti at (0.0000, 0.0000, 0.0000), Bi at (0.0000, 0.0000, 0.5350), Se at (0.0000, 0.0000, 0.1146) and Se at (0.0000, 0.0000, 0.6703).

The value obtained for the uncorrected formation energy is -0.342 eV per atom.

| no. | mass density (g/cm³) | D(E_F) (states/eV per atom) | total magnetization (μB per cell) |
| --- | --- | --- | --- |
| 1 | 6.16 | 1.13 | 0.00 |
| 2 | 10.01 | 1.46 | 0.00 |
| 3 | 7.62 | 1.79 | 0.00 |
| 4 | 16.31 | 1.02 | 1.29 |
| 5 | 4.73 | 0.58 | 0.00 |
| 6 | 4.46 | 1.16 | 0.00 |
| 7 | 5.94 | 0.42 | 0.00 |
| 8 | 6.14 | 1.08 | 0.00 |